[1]
This record from Alexandria describes Ba2Li3InHg4 after structural relaxation. The functional is GGA-PBE. Values from VASP.

Cell and atoms, written as Quantum ESPRESSO input:
```
&SYSTEM
  ibrav = 0, nat = 10, ntyp = 4
/
ATOMIC_SPECIES
Ba 137.33 Ba.upf
Li 6.94 Li.upf
In 114.82 In.upf
Hg 200.59 Hg.upf
ATOMIC_POSITIONS crystal
Ba 0.000 0.500 0.247
Ba 0.500 0.000 0.753
Li 0.000 0.500 0.892
Li 0.500 0.000 0.108
Li 0.500 0.500 0.500
In 0.000 0.000 0.500
Hg 0.000 0.000 0.000
Hg 0.000 0.500 0.643
Hg 0.500 0.000 0.357
Hg 0.500 0.500 0.000
CELL_PARAMETERS angstrom
4.998 0.000 0.000
0.000 4.998 0.000
0.000 0.000 11.013
```

Computed properties:
Density   7.321 g cm⁻³
Crystal system   tetragonal
Total DFT energy (no corrections)   -1.745 eV/atom
DFT formation energy   -0.392 eV per atom
Symmetry   P-4m2 (115)

[2]
This record from Alexandria describes La2P2W after structural relaxation. The functional is GGA-PBE. Values from VASP.

Cell and atoms, written as Quantum ESPRESSO input:
```
&SYSTEM
  ibrav = 0, nat = 10, ntyp = 3
/
ATOMIC_SPECIES
La 138.91 La.upf
P 30.97 P.upf
W 183.84 W.upf
ATOMIC_POSITIONS crystal
La 0.180 0.320 0.000
La 0.320 0.820 0.000
La 0.680 0.180 0.000
La 0.820 0.680 0.000
P 0.135 0.635 0.500
P 0.365 0.135 0.500
P 0.635 0.865 0.500
P 0.865 0.365 0.500
W 0.000 0.000 0.500
W 0.500 0.500 0.500
CELL_PARAMETERS angstrom
6.706 0.000 0.000
0.000 6.706 0.000
0.000 0.000 4.645
```

Computed properties:
Density   8.326 g cm⁻³
Crystal system   tetragonal
Total DFT energy (no corrections)   -7.391 eV/atom
DFT formation energy   -0.665 eV per atom
Symmetry   P4/mbm (127)

[3]
This record from Alexandria describes Cs2ErMn2Se4 after structural relaxation. The functional is GGA-PBE. Values from VASP.

Cell and atoms, written as Quantum ESPRESSO input:
```
&SYSTEM
  ibrav = 0, nat = 9, ntyp = 4
/
ATOMIC_SPECIES
Cs 132.91 Cs.upf
Er 167.26 Er.upf
Mn 54.94 Mn.upf
Se 78.96 Se.upf
ATOMIC_POSITIONS crystal
Cs 0.133 0.133 0.054
Cs 0.867 0.867 0.946
Er 0.000 0.000 0.500
Mn 0.321 0.321 0.517
Mn 0.679 0.679 0.483
Se 0.194 0.194 0.660
Se 0.479 0.479 0.717
Se 0.521 0.521 0.283
Se 0.806 0.806 0.340
CELL_PARAMETERS angstrom
7.799 -2.122 0.000
7.799 2.122 0.000
-2.638 0.000 8.045
```

Computed properties:
Uncorrected formation energy   -1.09 eV per atom
Density   5.354 g cm⁻³
Crystal system   monoclinic
Total DFT energy (no corrections)   -5.373 eV/atom
Symmetry   C2/m (12)

Number 1: total magnetization 0.0 μB/cell. Number 2: total magnetization 0.0 μB/cell. Number 3: total magnetization 9.0 μB/cell.